# ZnNi2Te, relaxed, DFT PBE-GGA
data_ZnNi2Te
_cell_length_a 7.639
_cell_length_b 3.291
_cell_length_c 5.112
_cell_angle_alpha 90.00
_cell_angle_beta 103.69
_cell_angle_gamma 90.00
_space_group_name_H-M_alt 'C 1 2/m 1'
_space_group_IT_number 12
loop_
_space_group_symop_operation_xyz
'x,y,z'
'-x,-y,-z'
'-x,y,-z'
'x,-y,z'
'x+1/2,y+1/2,z'
'-x+1/2,-y+1/2,-z'
'-x+1/2,y+1/2,-z'
'x+1/2,-y+1/2,z'
loop_
_atom_site_label
_atom_site_type_symbol
_atom_site_fract_x
_atom_site_fract_y
_atom_site_fract_z
Zn1 Zn 0.000 0.000 0.000
Ni1 Ni 0.249 0.500 0.214
Te1 Te 0.000 0.500 0.500
# uncorrected energy	-31.29	eV/cell
# formation energy without anion corrections	83	meV/atom
# relative energy among the computed polymorphs	89.1	meV/atom